# 1
The following is a DFT calculation (PBE) of a relaxed Ba2Pd2I crystal.

Values from the calculation:
DOS at the Fermi energy = 3.41 states/eV/f.u.
Energy above the most stable polymorph in this dataset = 236 meV/atom
Space group = P4/mbm (127)
E_form (uncorrected) = -0.728 eV per atom

a b c (Å): 8.664 8.664 4.194
angles (deg): 90.00 90.00 90.00
Atoms (fractional coordinates):
Ba 0.181 0.319 0.000
Ba 0.319 0.819 0.000
Ba 0.681 0.181 0.000
Ba 0.819 0.681 0.000
Pd 0.110 0.610 0.500
Pd 0.390 0.110 0.500
Pd 0.610 0.890 0.500
Pd 0.890 0.390 0.500
I 0.000 0.000 0.500
I 0.500 0.500 0.500

# 2
The following is a DFT calculation (PBE) of a relaxed OsAu2Cl crystal.

Values from the calculation:
DOS at the Fermi energy = 2.18 states/eV/f.u.
Energy above the most stable polymorph in this dataset = 579 meV/atom
Space group = F-43m (216)
E_form (uncorrected) = 1.077 eV per atom

a b c (Å): 4.649 4.649 4.649
angles (deg): 60.00 60.00 60.00
Atoms (fractional coordinates):
Os 0.000 0.000 0.000
Au 0.250 0.250 0.250
Au 0.500 0.500 0.500
Cl 0.750 0.750 0.750

DOS at the Fermi energy of number 2 (OsAu2Cl)? 2.18 states/eV/f.u.

energy above the most stable polymorph in this dataset of number 2 (OsAu2Cl)? 579 meV/atom

What is the energy above the most stable polymorph in this dataset in the first record? 236 meV/atom

What is the energy above the most stable polymorph in this dataset in the second record? 579 meV/atom